No. 1
The following is a GGA-PBE calculation of crystalline PuMgRu at its relaxed geometry, from Alexandria.

Properties
* energy of formation from the pure elements: -55 meV/atom
* total DFT energy (no corrections): -50.74 eV/cell
* Fermi-level density of states: 2.275 states/eV per atom
* crystal system: orthorhombic

POSCAR file:
```
PuMgRu
1.0
-2.149 2.721 5.173
2.149 -2.721 5.173
2.149 2.721 -5.173
Pu Mg Ru
2 2 2
Cartesian
0.000 0.000 2.030
0.000 0.000 8.316
2.149 1.405 0.000
0.000 1.317 5.173
2.149 0.000 3.785
0.000 2.721 1.388
```

=====

No. 2
The following is a GGA-PBE calculation of crystalline Ba5NaZn4 at its relaxed geometry, from Alexandria.

Properties
* energy of formation from the pure elements: -138 meV/atom
* total DFT energy (no corrections): -17.41 eV/cell
* Fermi-level density of states: 0.874 states/eV per atom
* crystal system: tetragonal

POSCAR file:
```
Ba5NaZn4
1.0
4.124 0.000 0.000
0.000 4.124 0.000
0.000 0.000 22.141
Ba Na Zn
5 1 4
Cartesian
0.000 0.000 0.000
0.000 0.000 4.122
0.000 0.000 8.146
0.000 0.000 13.995
0.000 0.000 18.019
2.062 2.062 11.071
2.062 2.062 2.042
2.062 2.062 6.250
2.062 2.062 15.891
2.062 2.062 20.100
```

=====

No. 3
The following is a GGA-PBE calculation of crystalline Pa2Te2C at its relaxed geometry, from Alexandria.

Properties
* total DFT energy (no corrections): -75.89 eV/cell
* Fermi-level density of states: 0.824 states/eV per atom
* crystal system: orthorhombic
* formation energy from raw total energies: -3.444 eV/f.u.

POSCAR file:
```
Pa2Te2C
1.0
-2.951 7.106 2.918
2.951 -7.106 2.918
2.951 7.106 -2.918
Pa Te C
4 4 2
Cartesian
1.287 1.242 0.000
1.287 -1.242 2.918
1.664 8.348 0.000
1.664 5.864 2.918
4.244 2.431 0.000
1.294 4.675 0.000
1.657 2.431 2.918
-1.294 4.675 2.918
0.000 0.000 1.459
0.000 0.000 4.376
```

=====

No. 4
The following is a GGA-PBE calculation of crystalline NdDy3Tl3 at its relaxed geometry, from Alexandria.

Properties
* energy of formation from the pure elements: -253 meV/atom
* total DFT energy (no corrections): -54.88 eV/cell
* Fermi-level density of states: 0.869 states/eV per atom
* crystal system: hexagonal

POSCAR file:
```
NdDy3Tl3
1.0
9.509 0.000 0.000
-4.754 8.235 0.000
0.000 0.000 5.238
Nd Dy Tl
2 6 6
Cartesian
0.000 5.490 1.309
4.755 2.745 3.928
-1.100 1.919 3.928
-2.542 8.228 3.928
1.112 1.912 1.309
3.643 6.323 3.928
7.297 0.007 1.309
5.855 6.316 1.309
-2.292 5.127 3.928
1.460 3.687 3.928
3.923 0.579 1.309
0.831 7.656 3.928
3.294 4.548 1.309
7.046 3.108 1.309
```

=====

No. 5
The following is a GGA-PBE calculation of crystalline Ta6FeMo at its relaxed geometry, from Alexandria.

Properties
* energy of formation from the pure elements: -92 meV/atom
* total DFT energy (no corrections): -91.15 eV/cell
* Fermi-level density of states: 0.724 states/eV per atom
* crystal system: tetragonal

POSCAR file:
```
Ta6FeMo
1.0
-2.265 2.265 6.604
2.265 -2.265 6.604
2.265 2.265 -6.604
Ta Fe Mo
6 1 1
Cartesian
2.265 0.000 1.564
0.000 0.000 3.308
2.265 0.000 5.040
0.000 2.265 1.564
0.000 0.000 9.899
0.000 2.265 5.040
0.000 0.000 0.000
0.000 0.000 6.604
```

=====

Fermi-level density of states of number 4 (NdDy3Tl3)? 0.869 states/eV per atom

=====

Which value of total DFT energy (no corrections) does entry 4 give? -54.88 eV/cell

=====

Look up the total DFT energy (no corrections) of the second one. -17.41 eV/cell